Computed, not measured: a geometry-optimized Rb2YI6Cl structure at the PBE level of DFT.

Cell: 9.400 9.400 8.770 Å, 57.59 57.59 90.00°
Element x y z (fractional)
Rb (0.750, 0.250, 0.500)
Rb (0.250, 0.750, 0.500)
Y (0.000, 0.000, 0.000)
I (0.776, 0.776, 0.000)
I (0.224, 0.776, 0.000)
I (0.727, 0.727, 0.547)
I (0.224, 0.224, 0.000)
I (0.776, 0.224, 0.000)
I (0.273, 0.273, 0.453)
Cl (0.500, 0.500, 0.000)

Computed properties:
theoretical density: 3.5 g/cm³
total energy: -3.00 eV per atom
space group: I4/mmm (139)
ΔE_f (raw): -10.45 eV per formula unit